CaLa2Tc | Alexandria | GGA-PBE | relaxed; energy above the most stable polymorph in this dataset = 85 meV/atom; energy relative to the elements = 0.15 eV/atom; space-group type = Cm, No. 8; theoretical density = 5.1 g/cm³; total magnetization = 0.000 μB/cell; E = -5.401 eV per atom
1.0
6.0011 -1.9515 0.0000
6.0011 1.9515 0.0000
-3.4222 0.0000 5.7406
Ca La Tc
1 2 1
Cartesian
0.0000 0.0000 0.0000
5.4364 0.0000 3.7938
8.7835 0.0000 1.7401
-0.0626 0.0000 5.6951